Entry 1:
A relaxed HoHgPdRh crystal, computed with PBE.

```
data_HoHgPdRh
_space_group_name_H-M_alt 'P 1'
_space_group_IT_number 1
_space_group_name_Hall 'P 1'
_cell_length_a 4.7318
_cell_length_b 4.7318
_cell_length_c 4.7318
_cell_angle_alpha 60.00
_cell_angle_beta 60.00
_cell_angle_gamma 60.00
loop_
_atom_site_label
_atom_site_type_symbol
_atom_site_fract_x
_atom_site_fract_y
_atom_site_fract_z
_atom_site_occupancy
Hg1 Hg 0.7500 0.7500 0.7500 1
Pd1 Pd 0.0000 0.0000 0.0000 1
Rh1 Rh 0.5000 0.5000 0.5000 1
Ho1 Ho 0.2500 0.2500 0.2500 1
```

Values from the calculation:
magnetization	0.00	Bohr magnetons per cell
DOS(E_F)	1.9	states/eV/cell
DFT total energy	-19.9	eV for the cell shown
ΔH_f (0 K)	-2.4	eV per formula unit

Entry 2:
A relaxed Ho4HgPd2Rh crystal, computed with PBE.

```
data_Ho4HgPd2Rh
_space_group_name_H-M_alt 'P 1'
_space_group_IT_number 1
_space_group_name_Hall 'P 1'
_cell_length_a 4.9988
_cell_length_b 4.9988
_cell_length_c 8.6077
_cell_angle_alpha 73.12
_cell_angle_beta 73.12
_cell_angle_gamma 60.00
loop_
_atom_site_label
_atom_site_type_symbol
_atom_site_fract_x
_atom_site_fract_y
_atom_site_fract_z
_atom_site_occupancy
Ho1 Ho 0.8696 0.8696 0.3913 1
Ho2 Ho 0.1304 0.1304 0.6087 1
Ho3 Ho 0.6182 0.6182 0.1455 1
Ho4 Ho 0.3818 0.3818 0.8545 1
Hg1 Hg 0.0000 0.0000 0.0000 1
Pd1 Pd 0.7484 0.7484 0.7548 1
Pd2 Pd 0.2516 0.2516 0.2452 1
Rh1 Rh 0.5000 0.5000 0.5000 1
```

Values from the calculation:
magnetization	0.00	Bohr magnetons per cell
DOS(E_F)	5.0	states/eV/cell
DFT total energy	-42.7	eV for the cell shown
ΔH_f (0 K)	-6.3	eV per formula unit

Entry 3:
A relaxed Ho4HgPdRu2 crystal, computed with PBE.

```
data_Ho4HgPdRu2
_space_group_name_H-M_alt 'P 1'
_space_group_IT_number 1
_space_group_name_Hall 'P 1'
_cell_length_a 4.9261
_cell_length_b 4.9261
_cell_length_c 8.5496
_cell_angle_alpha 73.26
_cell_angle_beta 73.26
_cell_angle_gamma 60.00
loop_
_atom_site_label
_atom_site_type_symbol
_atom_site_fract_x
_atom_site_fract_y
_atom_site_fract_z
_atom_site_occupancy
Ho1 Ho 0.3789 0.3789 0.8633 1
Ho2 Ho 0.6211 0.6211 0.1367 1
Ho3 Ho 0.1280 0.1280 0.6161 1
Ho4 Ho 0.8720 0.8720 0.3839 1
Pd1 Pd 0.5000 0.5000 0.5000 1
Hg1 Hg 0.0000 0.0000 0.0000 1
Ru1 Ru 0.7502 0.7502 0.7495 1
Ru2 Ru 0.2498 0.2498 0.2505 1
```

Values from the calculation:
magnetization	0.00	Bohr magnetons per cell
DOS(E_F)	4.2	states/eV/cell
DFT total energy	-46.6	eV for the cell shown
ΔH_f (0 K)	-4.2	eV per formula unit

Entry 4:
A relaxed SmHoHgPd crystal, computed with PBE.

```
data_SmHoHgPd
_space_group_name_H-M_alt 'P 1'
_space_group_IT_number 1
_space_group_name_Hall 'P 1'
_cell_length_a 5.1553
_cell_length_b 5.1553
_cell_length_c 5.1553
_cell_angle_alpha 60.00
_cell_angle_beta 60.00
_cell_angle_gamma 60.00
loop_
_atom_site_label
_atom_site_type_symbol
_atom_site_fract_x
_atom_site_fract_y
_atom_site_fract_z
_atom_site_occupancy
Hg1 Hg 0.5000 0.5000 0.5000 1
Ho1 Ho 0.2500 0.2500 0.2500 1
Pd1 Pd 0.0000 0.0000 0.0000 1
Sm1 Sm 0.7500 0.7500 0.7500 1
```

Values from the calculation:
magnetization	0.00	Bohr magnetons per cell
DOS(E_F)	2.7	states/eV/cell
DFT total energy	-17.3	eV for the cell shown
polymorph energy (0 for the lowest one)	43	meV/atom
ΔH_f (0 K)	-2.5	eV per formula unit

Entry 5:
A relaxed SmHoHgPd crystal, computed with PBE.

```
data_SmHoHgPd
_space_group_name_H-M_alt 'P 1'
_space_group_IT_number 1
_space_group_name_Hall 'P 1'
_cell_length_a 3.5879
_cell_length_b 3.5879
_cell_length_c 7.5138
_cell_angle_alpha 90.00
_cell_angle_beta 90.00
_cell_angle_gamma 90.00
loop_
_atom_site_label
_atom_site_type_symbol
_atom_site_fract_x
_atom_site_fract_y
_atom_site_fract_z
_atom_site_occupancy
Pd1 Pd 0.0000 0.0000 0.3738 1
Sm1 Sm 0.5000 0.5000 0.1264 1
Ho1 Ho 0.5000 0.5000 0.5836 1
Hg1 Hg 0.0000 0.0000 0.8442 1
```

Values from the calculation:
magnetization	0.00	Bohr magnetons per cell
DOS(E_F)	2.9	states/eV/cell
DFT total energy	-17.4	eV for the cell shown
polymorph energy (0 for the lowest one)	0	meV/atom
ΔH_f (0 K)	-2.7	eV per formula unit

Entry 6:
A relaxed HoSnHgPd crystal, computed with PBE.

```
data_HoSnHgPd
_space_group_name_H-M_alt 'P 1'
_space_group_IT_number 1
_space_group_name_Hall 'P 1'
_cell_length_a 4.9765
_cell_length_b 4.9765
_cell_length_c 4.9765
_cell_angle_alpha 60.00
_cell_angle_beta 60.00
_cell_angle_gamma 60.00
loop_
_atom_site_label
_atom_site_type_symbol
_atom_site_fract_x
_atom_site_fract_y
_atom_site_fract_z
_atom_site_occupancy
Pd1 Pd 0.5000 0.5000 0.5000 1
Ho1 Ho 0.7500 0.7500 0.7500 1
Hg1 Hg 0.0000 0.0000 0.0000 1
Sn1 Sn 0.2500 0.2500 0.2500 1
```

Values from the calculation:
magnetization	0.00	Bohr magnetons per cell
DOS(E_F)	2.1	states/eV/cell
DFT total energy	-16.3	eV for the cell shown
ΔH_f (0 K)	-2.2	eV per formula unit

Entry 7:
A relaxed SrHoHgPd crystal, computed with PBE.

```
data_SrHoHgPd
_space_group_name_H-M_alt 'P 1'
_space_group_IT_number 1
_space_group_name_Hall 'P 1'
_cell_length_a 5.2529
_cell_length_b 5.2529
_cell_length_c 5.2529
_cell_angle_alpha 60.00
_cell_angle_beta 60.00
_cell_angle_gamma 60.00
loop_
_atom_site_label
_atom_site_type_symbol
_atom_site_fract_x
_atom_site_fract_y
_atom_site_fract_z
_atom_site_occupancy
Hg1 Hg 0.7500 0.7500 0.7500 1
Pd1 Pd 0.2500 0.2500 0.2500 1
Ho1 Ho 0.5000 0.5000 0.5000 1
Sr1 Sr 0.0000 0.0000 0.0000 1
```

Values from the calculation:
magnetization	0.00	Bohr magnetons per cell
DOS(E_F)	3.6	states/eV/cell
DFT total energy	-13.8	eV for the cell shown
ΔH_f (0 K)	-2.0	eV per formula unit

Entry 8:
A relaxed HoTlHgPd crystal, computed with PBE.

```
data_HoTlHgPd
_space_group_name_H-M_alt 'P 1'
_space_group_IT_number 1
_space_group_name_Hall 'P 1'
_cell_length_a 5.0104
_cell_length_b 5.0104
_cell_length_c 5.0104
_cell_angle_alpha 60.00
_cell_angle_beta 60.00
_cell_angle_gamma 60.00
loop_
_atom_site_label
_atom_site_type_symbol
_atom_site_fract_x
_atom_site_fract_y
_atom_site_fract_z
_atom_site_occupancy
Pd1 Pd 0.0000 0.0000 0.0000 1
Ho1 Ho 0.2500 0.2500 0.2500 1
Hg1 Hg 0.5000 0.5000 0.5000 1
Tl1 Tl 0.7500 0.7500 0.7500 1
```

Values from the calculation:
magnetization	0.00	Bohr magnetons per cell
DOS(E_F)	2.3	states/eV/cell
DFT total energy	-14.1	eV for the cell shown
ΔH_f (0 K)	-1.7	eV per formula unit

Entry 9:
A relaxed HoTmHgPd crystal, computed with PBE.

```
data_HoTmHgPd
_space_group_name_H-M_alt 'P 1'
_space_group_IT_number 1
_space_group_name_Hall 'P 1'
_cell_length_a 5.0696
_cell_length_b 5.0696
_cell_length_c 5.0696
_cell_angle_alpha 60.00
_cell_angle_beta 60.00
_cell_angle_gamma 60.00
loop_
_atom_site_label
_atom_site_type_symbol
_atom_site_fract_x
_atom_site_fract_y
_atom_site_fract_z
_atom_site_occupancy
Ho1 Ho 0.2500 0.2500 0.2500 1
Tm1 Tm 0.7500 0.7500 0.7500 1
Pd1 Pd 0.0000 0.0000 0.0000 1
Hg1 Hg 0.5000 0.5000 0.5000 1
```

Values from the calculation:
magnetization	0.00	Bohr magnetons per cell
DOS(E_F)	2.5	states/eV/cell
DFT total energy	-17.2	eV for the cell shown
polymorph energy (0 for the lowest one)	37	meV/atom
ΔH_f (0 K)	-2.7	eV per formula unit

Entry 10:
A relaxed HoTmHgPd crystal, computed with PBE.

```
data_HoTmHgPd
_space_group_name_H-M_alt 'P 1'
_space_group_IT_number 1
_space_group_name_Hall 'P 1'
_cell_length_a 3.5470
_cell_length_b 3.5470
_cell_length_c 7.3251
_cell_angle_alpha 90.00
_cell_angle_beta 90.00
_cell_angle_gamma 90.00
loop_
_atom_site_label
_atom_site_type_symbol
_atom_site_fract_x
_atom_site_fract_y
_atom_site_fract_z
_atom_site_occupancy
Tm1 Tm 0.5000 0.5000 0.1288 1
Ho1 Ho 0.5000 0.5000 0.5862 1
Pd1 Pd 0.0000 0.0000 0.3522 1
Hg1 Hg 0.0000 0.0000 0.8608 1
```

Values from the calculation:
magnetization	0.00	Bohr magnetons per cell
DOS(E_F)	2.6	states/eV/cell
DFT total energy	-17.4	eV for the cell shown
polymorph energy (0 for the lowest one)	0	meV/atom
ΔH_f (0 K)	-2.8	eV per formula unit

Entry 11:
A relaxed HoZnHgPd crystal, computed with PBE.

```
data_HoZnHgPd
_space_group_name_H-M_alt 'P 1'
_space_group_IT_number 1
_space_group_name_Hall 'P 1'
_cell_length_a 4.8226
_cell_length_b 4.8226
_cell_length_c 4.8226
_cell_angle_alpha 60.00
_cell_angle_beta 60.00
_cell_angle_gamma 60.00
loop_
_atom_site_label
_atom_site_type_symbol
_atom_site_fract_x
_atom_site_fract_y
_atom_site_fract_z
_atom_site_occupancy
Pd1 Pd 0.5000 0.5000 0.5000 1
Ho1 Ho 0.7500 0.7500 0.7500 1
Hg1 Hg 0.0000 0.0000 0.0000 1
Zn1 Zn 0.2500 0.2500 0.2500 1
```

Values from the calculation:
magnetization	0.00	Bohr magnetons per cell
DOS(E_F)	2.5	states/eV/cell
DFT total energy	-13.2	eV for the cell shown
ΔH_f (0 K)	-1.9	eV per formula unit

Entry 12:
A relaxed Ho2Zn2HgPd5 crystal, computed with PBE.

```
data_Ho2Zn2HgPd5
_space_group_name_H-M_alt 'P 1'
_space_group_IT_number 1
_space_group_name_Hall 'P 1'
_cell_length_a 3.8422
_cell_length_b 9.6740
_cell_length_c 9.6740
_cell_angle_alpha 90.00
_cell_angle_beta 90.00
_cell_angle_gamma 90.00
loop_
_atom_site_label
_atom_site_type_symbol
_atom_site_fract_x
_atom_site_fract_y
_atom_site_fract_z
_atom_site_occupancy
Ho1 Ho 0.0000 0.6778 0.1778 1
Ho2 Ho 0.0000 0.8222 0.6778 1
Ho3 Ho 0.0000 0.1778 0.3222 1
Ho4 Ho 0.0000 0.3222 0.8222 1
Zn1 Zn 0.0000 0.6187 0.8813 1
Zn2 Zn 0.0000 0.1187 0.6187 1
Zn3 Zn 0.0000 0.8813 0.3813 1
Zn4 Zn 0.0000 0.3813 0.1187 1
Hg1 Hg 0.0000 0.0000 0.0000 1
Hg2 Hg 0.0000 0.5000 0.5000 1
Pd1 Pd 0.5000 0.7925 0.9285 1
Pd2 Pd 0.5000 0.0715 0.7925 1
Pd3 Pd 0.5000 0.5000 0.0000 1
Pd4 Pd 0.5000 0.2925 0.5715 1
Pd5 Pd 0.5000 0.9285 0.2075 1
Pd6 Pd 0.5000 0.4285 0.2925 1
Pd7 Pd 0.5000 0.7075 0.4285 1
Pd8 Pd 0.5000 0.5715 0.7075 1
Pd9 Pd 0.5000 0.2075 0.0715 1
Pd10 Pd 0.5000 0.0000 0.5000 1
```

Values from the calculation:
magnetization	0.00	Bohr magnetons per cell
DOS(E_F)	5.5	states/eV/cell
DFT total energy	-89.1	eV for the cell shown
ΔH_f (0 K)	-6.6	eV per formula unit

Which value of DOS(E_F) does entry 9 give? 2.5 states/eV/cell

Look up the DOS(E_F) of the seventh one. 3.6 states/eV/cell